1.
# AlSi2Hg2 PBE optimized geometry
data_AlSi2Hg2
_chemical_formula_sum 'Al2 Si4 Hg4'
_cell_length_a 6.464
_cell_length_b 6.464
_cell_length_c 5.259
_cell_angle_alpha 90.00
_cell_angle_beta 90.00
_cell_angle_gamma 90.00
_symmetry_space_group_name_H-M 'P 4/m b m'
_symmetry_Int_Tables_number 127
_symmetry_space_group_name_Hall '-P 4 2ab'
loop_
_atom_site_label
_atom_site_fract_x
_atom_site_fract_y
_atom_site_fract_z
_atom_site_occupancy
Al1 0.000 0.000 0.000 1
Si1 0.130 0.370 0.000 1
Hg1 0.179 0.321 0.500 1
# D(E_F) = 4.12 states/eV/cell
# ΔE_f (raw) = 0.252 eV per atom
# DFT total energy = -2.786 eV/atom



2.
# ZrTiF3 PBE optimized geometry
data_ZrTiF3
_chemical_formula_sum 'Zr1 Ti1 F3'
_cell_length_a 4.373
_cell_length_b 4.373
_cell_length_c 4.373
_cell_angle_alpha 90.00
_cell_angle_beta 90.00
_cell_angle_gamma 90.00
_symmetry_space_group_name_H-M 'P m -3 m'
_symmetry_Int_Tables_number 221
_symmetry_space_group_name_Hall '-P 4 2 3'
loop_
_atom_site_label
_atom_site_fract_x
_atom_site_fract_y
_atom_site_fract_z
_atom_site_occupancy
Zr1 0.000 0.000 0.000 1
Ti1 0.500 0.500 0.500 1
F1 0.000 0.000 0.500 1
# D(E_F) = 4.83 states/eV/cell
# Energy above the lowest structure with this stoichiometry = 5 kJ/mol of formula units
# ΔE_f (raw) = -1.697 eV per atom
# DFT total energy = -6.108 eV/atom



3.
# La2Ho7Sc PBE optimized geometry
data_La2Ho7Sc
_chemical_formula_sum 'La4 Ho14 Sc2'
_cell_length_a 6.526
_cell_length_b 28.644
_cell_length_c 3.457
_cell_angle_alpha 90.00
_cell_angle_beta 90.00
_cell_angle_gamma 90.00
_symmetry_space_group_name_H-M 'C m m m'
_symmetry_Int_Tables_number 65
_symmetry_space_group_name_Hall '-C 2 2'
loop_
_atom_site_label
_atom_site_fract_x
_atom_site_fract_y
_atom_site_fract_z
_atom_site_occupancy
La1 0.000 0.206 0.000 1
Ho1 0.000 0.000 0.000 1
Ho2 0.000 0.317 0.500 1
Ho3 0.242 0.405 0.000 1
Sc1 0.000 0.500 0.500 1
# D(E_F) = 33.82 states/eV/cell
# DFT total energy = -4.648 eV/atom
# DFT formation energy = 0.175 eV/atom



4.
# BaTa2Be PBE optimized geometry
data_BaTa2Be
_chemical_formula_sum 'Ba4 Ta8 Be4'
_cell_length_a 5.000
_cell_length_b 5.000
_cell_length_c 18.289
_cell_angle_alpha 90.00
_cell_angle_beta 90.00
_cell_angle_gamma 90.00
_symmetry_space_group_name_H-M 'I 41/a m d'
_symmetry_Int_Tables_number 141
loop_
_symmetry_equiv_pos_as_xyz
'x,y,z'
'-x,-y,-z'
'-y+1/4,x+3/4,z+1/4'
'y+1/4,-x+3/4,-z+1/4'
'-x+1/2,-y,z+1/2'
'x+1/2,y,-z+1/2'
'y+1/4,-x+1/4,z+3/4'
'-y+1/4,x+1/4,-z+3/4'
'x,-y,-z'
'-x,y,z'
'-y+1/4,-x+1/4,-z+3/4'
'y+1/4,x+1/4,z+3/4'
'-x+1/2,y,-z+1/2'
'x+1/2,-y,z+1/2'
'y+1/4,x+3/4,-z+1/4'
'-y+1/4,-x+3/4,z+1/4'
'x+1/2,y+1/2,z+1/2'
'-x+1/2,-y+1/2,-z+1/2'
'-y+3/4,x+1/4,z+3/4'
'y+3/4,-x+1/4,-z+3/4'
'-x,-y+1/2,z'
'x,y+1/2,-z'
'y+3/4,-x+3/4,z+1/4'
'-y+3/4,x+3/4,-z+1/4'
'x+1/2,-y+1/2,-z+1/2'
'-x+1/2,y+1/2,z+1/2'
'-y+3/4,-x+3/4,-z+1/4'
'y+3/4,x+3/4,z+1/4'
'-x,y+1/2,-z'
'x,-y+1/2,z'
'y+3/4,x+1/4,-z+3/4'
'-y+3/4,-x+1/4,z+3/4'
loop_
_atom_site_label
_atom_site_fract_x
_atom_site_fract_y
_atom_site_fract_z
_atom_site_occupancy
Ba1 0.000 0.250 0.375 1
Ta1 0.000 0.000 0.000 1
Be1 0.000 0.250 0.875 1
# D(E_F) = 23.88 states/eV/cell
# DFT total energy = -6.019 eV/atom
# DFT formation energy = 1.319 eV/atom



5.
# LiHfZr2Pd PBE optimized geometry
data_LiHfZr2Pd
_chemical_formula_sum 'Li1 Hf1 Zr2 Pd1'
_cell_length_a 4.791
_cell_length_b 4.791
_cell_length_c 4.249
_cell_angle_alpha 90.00
_cell_angle_beta 90.00
_cell_angle_gamma 90.00
_symmetry_space_group_name_H-M 'P 4/m m m'
_symmetry_Int_Tables_number 123
_symmetry_space_group_name_Hall '-P 4 2'
loop_
_atom_site_label
_atom_site_fract_x
_atom_site_fract_y
_atom_site_fract_z
_atom_site_occupancy
Li1 0.000 0.000 0.000 1
Hf1 0.500 0.500 0.500 1
Zr1 0.000 0.500 0.000 1
Pd1 0.000 0.000 0.500 1
# D(E_F) = 8.32 states/eV/cell
# DFT total energy = -6.381 eV/atom
# DFT formation energy = 0.451 eV/atom



6.
# NaY2RuPb PBE optimized geometry
data_NaY2RuPb
_chemical_formula_sum 'Na1 Y2 Ru1 Pb1'
_cell_length_a 5.367
_cell_length_b 5.367
_cell_length_c 5.315
_cell_angle_alpha 90.00
_cell_angle_beta 90.00
_cell_angle_gamma 90.00
_symmetry_space_group_name_H-M 'P 4/m m m'
_symmetry_Int_Tables_number 123
_symmetry_space_group_name_Hall '-P 4 2'
loop_
_atom_site_label
_atom_site_fract_x
_atom_site_fract_y
_atom_site_fract_z
_atom_site_occupancy
Na1 0.000 0.000 0.000 1
Y1 0.000 0.500 0.500 1
Ru1 0.500 0.500 0.500 1
Pb1 0.500 0.500 0.000 1
# D(E_F) = 5.56 states/eV/cell
# DFT total energy = -5.509 eV/atom
# DFT formation energy = -0.063 eV/atom



7.
# Li2TmPd4 PBE optimized geometry
data_Li2TmPd4
_chemical_formula_sum 'Li4 Tm2 Pd8'
_cell_length_a 6.434
_cell_length_b 6.434
_cell_length_c 5.833
_cell_angle_alpha 90.00
_cell_angle_beta 90.00
_cell_angle_gamma 90.00
_symmetry_space_group_name_H-M 'I 4/m m m'
_symmetry_Int_Tables_number 139
_symmetry_space_group_name_Hall '-I 4 2'
loop_
_atom_site_label
_atom_site_fract_x
_atom_site_fract_y
_atom_site_fract_z
_atom_site_occupancy
Li1 0.000 0.500 0.000 1
Tm1 0.000 0.000 0.000 1
Pd1 0.250 0.250 0.250 1
# D(E_F) = 3.85 states/eV/cell
# Energy above the lowest structure with this stoichiometry = 107 kJ/mol of formula units
# DFT total energy = -4.558 eV/atom
# DFT formation energy = -0.406 eV/atom



8.
# PuSc2Pd PBE optimized geometry
data_PuSc2Pd
_chemical_formula_sum 'Pu1 Sc2 Pd1'
_cell_length_a 4.970
_cell_length_b 4.970
_cell_length_c 3.363
_cell_angle_alpha 90.00
_cell_angle_beta 90.00
_cell_angle_gamma 90.00
_symmetry_space_group_name_H-M 'P 4/m m m'
_symmetry_Int_Tables_number 123
_symmetry_space_group_name_Hall '-P 4 2'
loop_
_atom_site_label
_atom_site_fract_x
_atom_site_fract_y
_atom_site_fract_z
_atom_site_occupancy
Pu1 0.000 0.000 0.000 1
Sc1 0.000 0.500 0.500 1
Pd1 0.500 0.500 0.000 1
# D(E_F) = 8.87 states/eV/cell
# Energy above the lowest structure with this stoichiometry = 65 kJ/mol of formula units
# DFT total energy = -8.249 eV/atom
# DFT formation energy = -0.202 eV/atom



9.
# NiSb2Pd2 PBE optimized geometry
data_NiSb2Pd2
_chemical_formula_sum 'Ni4 Sb8 Pd8'
_cell_length_a 6.362
_cell_length_b 11.161
_cell_length_c 5.138
_cell_angle_alpha 90.00
_cell_angle_beta 90.00
_cell_angle_gamma 90.00
_symmetry_space_group_name_H-M 'I b a m'
_symmetry_Int_Tables_number 72
_symmetry_space_group_name_Hall '-I 2 2c'
loop_
_atom_site_label
_atom_site_fract_x
_atom_site_fract_y
_atom_site_fract_z
_atom_site_occupancy
Ni1 0.000 0.000 0.250 1
Sb1 0.224 0.150 0.000 1
Pd1 0.140 0.397 0.000 1
# D(E_F) = 11.09 states/eV/cell
# Energy above the lowest structure with this stoichiometry = 0 kJ/mol of formula units
# ΔE_f (raw) = -0.387 eV per atom
# DFT total energy = -5.269 eV/atom



10.
# PHRuS PBE optimized geometry
data_PHRuS
_chemical_formula_sum 'P2 H2 Ru2 S2'
_cell_length_a 3.691
_cell_length_b 3.227
_cell_length_c 8.938
_cell_angle_alpha 90.00
_cell_angle_beta 90.00
_cell_angle_gamma 90.00
_symmetry_space_group_name_H-M 'A m m 2'
_symmetry_Int_Tables_number 38
_symmetry_space_group_name_Hall 'A 2 -2'
loop_
_atom_site_label
_atom_site_fract_x
_atom_site_fract_y
_atom_site_fract_z
_atom_site_occupancy
P1 0.000 0.000 0.000 1
H1 0.500 0.000 0.416 1
Ru1 0.500 0.000 0.849 1
S1 0.000 0.000 0.674 1
# Energy above the lowest structure with this stoichiometry = 6 kJ/mol of formula units
# DFT total energy = -5.727 eV/atom



11.
# NaAcSi2Au5 PBE optimized geometry
data_NaAcSi2Au5
_chemical_formula_sum 'Na1 Ac1 Si2 Au5'
_cell_length_a 4.683
_cell_length_b 4.683
_cell_length_c 10.008
_cell_angle_alpha 90.00
_cell_angle_beta 90.00
_cell_angle_gamma 90.00
_symmetry_space_group_name_H-M 'P 4/m m m'
_symmetry_Int_Tables_number 123
_symmetry_space_group_name_Hall '-P 4 2'
loop_
_atom_site_label
_atom_site_fract_x
_atom_site_fract_y
_atom_site_fract_z
_atom_site_occupancy
Na1 0.000 0.000 0.000 1
Ac1 0.000 0.000 0.500 1
Si1 0.500 0.500 0.261 1
Au1 0.000 0.500 0.205 1
Au2 0.500 0.500 0.500 1
# D(E_F) = 3.51 states/eV/cell
# ΔE_f (raw) = -0.336 eV per atom
# DFT total energy = -3.965 eV/atom



12.
# Ce4YPb5 PBE optimized geometry
data_Ce4YPb5
_chemical_formula_sum 'Ce4 Y1 Pb5'
_cell_length_a 3.590
_cell_length_b 3.590
_cell_length_c 22.825
_cell_angle_alpha 90.00
_cell_angle_beta 90.00
_cell_angle_gamma 90.00
_symmetry_space_group_name_H-M 'P 4/m m m'
_symmetry_Int_Tables_number 123
_symmetry_space_group_name_Hall '-P 4 2'
loop_
_atom_site_label
_atom_site_fract_x
_atom_site_fract_y
_atom_site_fract_z
_atom_site_occupancy
Ce1 0.000 0.000 0.101 1
Ce2 0.000 0.000 0.302 1
Y1 0.000 0.000 0.500 1
Pb1 0.500 0.500 0.000 1
Pb2 0.500 0.500 0.201 1
Pb3 0.500 0.500 0.403 1
# D(E_F) = 27.99 states/eV/cell
# DFT total energy = -5.285 eV/atom
# DFT formation energy = -0.411 eV/atom



13.
# La2TcH8 PBE optimized geometry
data_La2TcH8
_chemical_formula_sum 'La4 Tc2 H16'
_cell_length_a 14.343
_cell_length_b 3.675
_cell_length_c 4.520
_cell_angle_alpha 90.00
_cell_angle_beta 108.31
_cell_angle_gamma 90.00
_symmetry_space_group_name_H-M 'C 1 2/m 1'
_symmetry_Int_Tables_number 12
_symmetry_space_group_name_Hall '-C 2y'
loop_
_atom_site_label
_atom_site_fract_x
_atom_site_fract_y
_atom_site_fract_z
_atom_site_occupancy
La1 0.143 0.000 0.145 1
Tc1 0.000 0.500 0.500 1
H1 0.000 0.000 0.312 1
H2 0.105 0.500 0.828 1
H3 0.108 0.500 0.395 1
H4 0.239 0.000 0.740 1
# D(E_F) = 3.62 states/eV/cell
# DFT total energy = -4.648 eV/atom



14.
# KLi3Ti PBE optimized geometry
data_KLi3Ti
_chemical_formula_sum 'K1 Li3 Ti1'
_cell_length_a 5.595
_cell_length_b 5.595
_cell_length_c 5.595
_cell_angle_alpha 90.00
_cell_angle_beta 90.00
_cell_angle_gamma 90.00
_symmetry_space_group_name_H-M 'P m -3 m'
_symmetry_Int_Tables_number 221
_symmetry_space_group_name_Hall '-P 4 2 3'
loop_
_atom_site_label
_atom_site_fract_x
_atom_site_fract_y
_atom_site_fract_z
_atom_site_occupancy
K1 0.000 0.000 0.000 1
Li1 0.000 0.500 0.500 1
Ti1 0.500 0.500 0.500 1
# D(E_F) = 9.11 states/eV/cell
# Energy above the lowest structure with this stoichiometry = 0 kJ/mol of formula units
# DFT total energy = -2.159 eV/atom
# DFT formation energy = 0.787 eV/atom



15.
# CdInBi2 PBE optimized geometry
data_CdInBi2
_chemical_formula_sum 'Cd1 In1 Bi2'
_cell_length_a 3.971
_cell_length_b 3.971
_cell_length_c 7.380
_cell_angle_alpha 90.00
_cell_angle_beta 90.00
_cell_angle_gamma 90.00
_symmetry_space_group_name_H-M 'P 4/m m m'
_symmetry_Int_Tables_number 123
_symmetry_space_group_name_Hall '-P 4 2'
loop_
_atom_site_label
_atom_site_fract_x
_atom_site_fract_y
_atom_site_fract_z
_atom_site_occupancy
Cd1 0.000 0.000 0.000 1
In1 0.000 0.000 0.500 1
Bi1 0.500 0.500 0.230 1
# D(E_F) = 1.71 states/eV/cell
# DFT total energy = -2.770 eV/atom
# DFT formation energy = 0.083 eV/atom



16.
# Zr2ZnBr PBE optimized geometry
data_Zr2ZnBr
_chemical_formula_sum 'Zr4 Zn2 Br2'
_cell_length_a 6.689
_cell_length_b 7.618
_cell_length_c 3.218
_cell_angle_alpha 90.00
_cell_angle_beta 102.42
_cell_angle_gamma 90.00
_symmetry_space_group_name_H-M 'C 1 2/m 1'
_symmetry_Int_Tables_number 12
_symmetry_space_group_name_Hall '-C 2y'
loop_
_atom_site_label
_atom_site_fract_x
_atom_site_fract_y
_atom_site_fract_z
_atom_site_occupancy
Zr1 0.250 0.250 0.000 1
Zn1 0.000 0.000 0.500 1
Br1 0.000 0.500 0.500 1
# D(E_F) = 3.96 states/eV/cell
# Energy above the lowest structure with this stoichiometry = 64 kJ/mol of formula units
# ΔE_f (raw) = -0.138 eV per atom
# DFT total energy = -5.149 eV/atom



17.
# Na2Sc2SbO6 PBE optimized geometry
data_Na2Sc2SbO6
_chemical_formula_sum 'Na4 Sc4 Sb2 O12'
_cell_length_a 5.587
_cell_length_b 9.664
_cell_length_c 5.906
_cell_angle_alpha 90.00
_cell_angle_beta 108.28
_cell_angle_gamma 90.00
_symmetry_space_group_name_H-M 'C 1 2/m 1'
_symmetry_Int_Tables_number 12
_symmetry_space_group_name_Hall '-C 2y'
loop_
_atom_site_label
_atom_site_fract_x
_atom_site_fract_y
_atom_site_fract_z
_atom_site_occupancy
Na1 0.000 0.169 0.000 1
Sc1 0.000 0.335 0.500 1
Sb1 0.000 0.000 0.500 1
O1 0.227 0.171 0.694 1
O2 0.238 0.500 0.695 1
# D(E_F) = 11.18 states/eV/cell
# ΔE_f (raw) = -2.359 eV per atom
# DFT total energy = -6.829 eV/atom